1.
Entry from Alexandria: crystalline DyScZnO4 at its relaxed geometry (GGA-PBE).

Output
* formation energy from raw total energies: -2.83 eV/atom

```
data_DyScZnO4
_cell_length_a 6.3253
_cell_length_b 6.5583
_cell_length_c 9.0857
_cell_angle_alpha 90.00
_cell_angle_beta 90.00
_cell_angle_gamma 90.00
_symmetry_space_group_name_H-M 'I m m a'
_symmetry_Int_Tables_number 74
_symmetry_space_group_name_Hall '-I 2b 2'
loop_
_atom_site_label
_atom_site_type_symbol
_atom_site_fract_x
_atom_site_fract_y
_atom_site_fract_z
Dy1 Dy 0.0000 0.0000 0.0000
Sc1 Sc 0.2500 0.2500 0.2500
Zn1 Zn 0.0000 0.2500 0.6202
O1 O 0.0000 0.0245 0.2489
O2 O 0.2431 0.2500 0.0145
```

2.
Entry from Alexandria: crystalline DySeO at its relaxed geometry (GGA-PBE).

Output
* formation energy from raw total energies: -2.29 eV/atom

```
data_DySeO
_cell_length_a 6.2282
_cell_length_b 3.7796
_cell_length_c 11.7547
_cell_angle_alpha 90.00
_cell_angle_beta 95.68
_cell_angle_gamma 90.00
_symmetry_space_group_name_H-M 'C 1 2/m 1'
_symmetry_Int_Tables_number 12
loop_
_symmetry_equiv_pos_as_xyz
'x,y,z'
'-x,-y,-z'
'-x,y,-z'
'x,-y,z'
'x+1/2,y+1/2,z'
'-x+1/2,-y+1/2,-z'
'-x+1/2,y+1/2,-z'
'x+1/2,-y+1/2,z'
loop_
_atom_site_label
_atom_site_type_symbol
_atom_site_fract_x
_atom_site_fract_y
_atom_site_fract_z
Dy1 Dy 0.1433 0.0000 0.3725
Se1 Se 0.0558 0.5000 0.8152
O1 O 0.1862 0.0000 0.5749
```

3.
Entry from Alexandria: crystalline Dy3Se3O at its relaxed geometry (GGA-PBE).

Output
* formation energy from raw total energies: -2.10 eV/atom

```
data_Dy3Se3O
_cell_length_a 8.7696
_cell_length_b 15.1630
_cell_length_c 5.7060
_cell_angle_alpha 90.00
_cell_angle_beta 90.00
_cell_angle_gamma 90.00
_symmetry_space_group_name_H-M 'C m c m'
_symmetry_Int_Tables_number 63
_symmetry_space_group_name_Hall '-C 2c 2'
loop_
_atom_site_label
_atom_site_type_symbol
_atom_site_fract_x
_atom_site_fract_y
_atom_site_fract_z
Dy1 Dy 0.0000 0.1900 0.2500
Dy2 Dy 0.2142 0.4050 0.2500
Se1 Se 0.0000 0.1812 0.7500
Se2 Se 0.2271 0.4093 0.7500
O1 O 0.0000 0.3331 0.2500
```

4.
Entry from Alexandria: crystalline Dy2SeO2 at its relaxed geometry (GGA-PBE).

Output
* formation energy from raw total energies: -3.08 eV/atom

```
data_Dy2SeO2
_cell_length_a 3.8346
_cell_length_b 3.8346
_cell_length_c 12.1540
_cell_angle_alpha 90.00
_cell_angle_beta 90.00
_cell_angle_gamma 90.00
_symmetry_space_group_name_H-M 'I 4/m m m'
_symmetry_Int_Tables_number 139
_symmetry_space_group_name_Hall '-I 4 2'
loop_
_atom_site_label
_atom_site_type_symbol
_atom_site_fract_x
_atom_site_fract_y
_atom_site_fract_z
Dy1 Dy 0.0000 0.0000 0.1566
Se1 Se 0.0000 0.0000 0.5000
O1 O 0.0000 0.5000 0.2500
```

5.
Entry from Alexandria: crystalline DySeO3 at its relaxed geometry (GGA-PBE).

Output
* formation energy from raw total energies: -2.11 eV/atom

```
data_DySeO3
_cell_length_a 5.9771
_cell_length_b 12.4360
_cell_length_c 8.9882
_cell_angle_alpha 90.00
_cell_angle_beta 106.19
_cell_angle_gamma 90.00
_symmetry_space_group_name_H-M 'P 1 21/c 1'
_symmetry_Int_Tables_number 14
loop_
_symmetry_equiv_pos_as_xyz
'x,y,z'
'-x,-y,-z'
'-x,y+1/2,-z+1/2'
'x,-y+1/2,z+1/2'
loop_
_atom_site_label
_atom_site_type_symbol
_atom_site_fract_x
_atom_site_fract_y
_atom_site_fract_z
Dy1 Dy 0.1397 0.2449 0.1596
Dy2 Dy 0.2592 0.5619 0.0827
Se1 Se 0.1313 0.5128 0.6804
Se2 Se 0.4516 0.6588 0.4790
O1 O 0.0529 0.5922 0.2768
O2 O 0.0949 0.0942 0.5827
O3 O 0.2476 0.7451 0.9896
O4 O 0.2856 0.2230 0.9265
O5 O 0.3665 0.5159 0.8556
O6 O 0.4789 0.6794 0.2941
```

6.
Entry from Alexandria: crystalline DySe2O6 at its relaxed geometry (GGA-PBE).

Output
* formation energy from raw total energies: -1.47 eV/atom

```
data_DySe2O6
_cell_length_a 8.7110
_cell_length_b 10.2012
_cell_length_c 7.9507
_cell_angle_alpha 90.00
_cell_angle_beta 114.29
_cell_angle_gamma 90.00
_symmetry_space_group_name_H-M 'C 1 2/c 1'
_symmetry_Int_Tables_number 15
loop_
_symmetry_equiv_pos_as_xyz
'x,y,z'
'-x,-y,-z'
'-x,y,-z+1/2'
'x,-y,z+1/2'
'x+1/2,y+1/2,z'
'-x+1/2,-y+1/2,-z'
'-x+1/2,y+1/2,-z+1/2'
'x+1/2,-y+1/2,z+1/2'
loop_
_atom_site_label
_atom_site_type_symbol
_atom_site_fract_x
_atom_site_fract_y
_atom_site_fract_z
Dy1 Dy 0.0000 0.0401 0.2500
Se1 Se 0.1968 0.3706 0.2646
O1 O 0.1022 0.0975 0.5689
O2 O 0.1812 0.2050 0.2557
O3 O 0.2318 0.4283 0.0833
```

7.
Entry from Alexandria: crystalline Dy2Se3O12 at its relaxed geometry (GGA-PBE).

Output
* formation energy from raw total energies: -1.59 eV/atom
* polymorph energy (0 for the lowest one): 0 meV/atom

```
data_Dy2Se3O12
_cell_length_a 13.4572
_cell_length_b 9.7090
_cell_length_c 9.7848
_cell_angle_alpha 90.00
_cell_angle_beta 90.00
_cell_angle_gamma 90.00
_symmetry_space_group_name_H-M 'P b c n'
_symmetry_Int_Tables_number 60
loop_
_symmetry_equiv_pos_as_xyz
'x,y,z'
'-x,-y,-z'
'-x+1/2,-y+1/2,z+1/2'
'x+1/2,y+1/2,-z+1/2'
'x+1/2,-y+1/2,-z'
'-x+1/2,y+1/2,z'
'-x,y,-z+1/2'
'x,-y,z+1/2'
loop_
_atom_site_label
_atom_site_type_symbol
_atom_site_fract_x
_atom_site_fract_y
_atom_site_fract_z
Dy1 Dy 0.1180 0.2494 0.0368
Se1 Se 0.0000 0.4665 0.7500
Se2 Se 0.1464 0.1065 0.3876
O1 O 0.0335 0.1656 0.4233
O2 O 0.0646 0.3669 0.8550
O3 O 0.0800 0.4365 0.1635
O4 O 0.1490 0.0637 0.9056
O5 O 0.1761 0.1444 0.2270
O6 O 0.2265 0.1781 0.4956
```

8.
Entry from Alexandria: crystalline Dy3SeO7 at its relaxed geometry (GGA-PBE).

Output
* formation energy from raw total energies: -2.63 eV/atom

```
data_Dy3SeO7
_cell_length_a 7.5292
_cell_length_b 10.4395
_cell_length_c 7.4385
_cell_angle_alpha 90.00
_cell_angle_beta 90.00
_cell_angle_gamma 90.00
_symmetry_space_group_name_H-M 'C 2 2 21'
_symmetry_Int_Tables_number 20
loop_
_symmetry_equiv_pos_as_xyz
'x,y,z'
'-x,-y,z+1/2'
'x,-y,-z'
'-x,y,-z+1/2'
'x+1/2,y+1/2,z'
'-x+1/2,-y+1/2,z+1/2'
'x+1/2,-y+1/2,-z'
'-x+1/2,y+1/2,-z+1/2'
loop_
_atom_site_label
_atom_site_type_symbol
_atom_site_fract_x
_atom_site_fract_y
_atom_site_fract_z
Dy1 Dy 0.0379 0.0000 0.0000
Dy2 Dy 0.2343 0.2674 0.7556
Se1 Se 0.0070 0.5000 0.0000
O1 O 0.0000 0.1301 0.2500
O2 O 0.0000 0.1390 0.7500
O3 O 0.0000 0.4414 0.7500
O4 O 0.1771 0.3760 0.0329
O5 O 0.2037 0.3743 0.4785
```